{"formula": "MgTcIr", "functional": "PBE-GGA", "state": "optimized geometry", "lattice": [[-4.276, -3.963, -1.912], [-1.856, -5.121, -2.825], [-0.116, -1.900, 2.099]], "species": ["Ir", "Mg", "Tc"], "frac_coords": [[0.008, 0.008, 0.992], [0.337, 0.337, 0.663], [0.655, 0.655, 0.345]], "formation_energy_ev_per_atom": -0.115, "de_polymorph_ev_per_atom": 0.081, "magmom_total_mub_per_fu": 0.02, "volume_a3_per_atom": 15.52, "energy_ev_per_cell": -21.2}

{"formula": "NbFe3I", "functional": "PBE-GGA", "state": "optimized geometry", "lattice": [[-0.019, -4.696, -0.236], [4.589, 0.033, -1.024], [1.025, -0.234, 4.583]], "species": ["Fe", "Fe", "Fe", "I", "Nb"], "frac_coords": [[0.000, 0.500, 0.000], [0.500, 0.000, 0.000], [0.000, 0.000, 0.500], [0.500, 0.500, 0.500], [0.000, 0.000, 0.000]], "de_polymorph_ev_per_atom": 0.000, "raw_formation_energy_mev_per_atom": 1541, "magmom_total_mub_per_fu": 5.57, "volume_a3_per_atom": 20.79, "energy_ev_per_cell": -29.3}

{"formula": "UV2Tc", "functional": "PBE-GGA", "state": "optimized geometry", "lattice": [[2.795, 0.000, 0.000], [1.397, 2.421, 0.000], [1.397, 0.807, 9.760]], "species": ["U", "V", "V", "Tc"], "frac_coords": [[0.500, 0.500, 0.500], [0.077, 0.077, 0.769], [0.923, 0.923, 0.231], [0.000, 0.000, 0.000]], "formation_energy_ev_per_atom": 0.479, "de_polymorph_ev_per_atom": 0.420, "magmom_total_mub_per_fu": 0.00, "volume_a3_per_atom": 16.51, "energy_ev_per_cell": -38.0}